Record 1
First-principles (PBE) data for an optimized crystal structure of Li2Ac2Pb, as listed in Alexandria via LeMat-Bulk.

```
Li2Ac2Pb
1.0
3.9435 0.0000 0.0000
0.0000 3.9435 0.0000
0.0000 0.0000 21.2230
Li Ac Pb
4 4 2
Direct
0.0000 0.5000 0.2500
0.0000 0.5000 0.7500
0.5000 0.0000 0.2500
0.5000 0.0000 0.7500
0.0000 0.0000 0.1029
0.0000 0.0000 0.8971
0.5000 0.5000 0.3971
0.5000 0.5000 0.6029
0.0000 0.0000 0.5000
0.5000 0.5000 0.0000
```

Summary:
The space group is I4/mmm. The calculation puts the final energy at -3.22 eV per atom.

***

Record 2
First-principles (PBE) data for an optimized crystal structure of SrHg2Cl8, as listed in Alexandria via LeMat-Bulk.

```
SrHg2Cl8
1.0
-3.6254 3.6254 6.1201
3.6254 -3.6254 6.1201
3.6254 3.6254 -6.1201
Sr Hg Cl
1 2 8
Direct
0.0000 0.0000 0.0000
0.2500 0.7500 0.5000
0.7500 0.2500 0.5000
0.0688 0.5657 0.8594
0.2094 0.0688 0.5031
0.2937 0.4343 0.5031
0.4343 0.9312 0.1406
0.5657 0.7063 0.4969
0.7063 0.2094 0.1406
0.7906 0.2937 0.8594
0.9312 0.7906 0.4969
```

Summary:
The space group is I422. For the uncorrected formation energy, the calculation gives -0.84 eV/atom.

***

Record 3
First-principles (PBE) data for an optimized crystal structure of Pr6ErCd2, as listed in Alexandria via LeMat-Bulk.

```
Pr6ErCd2
1.0
6.5428 -1.9245 0.0000
6.5428 1.9245 0.0000
-3.9882 0.0000 11.6332
Pr Er Cd
6 1 2
Direct
0.0221 0.0221 0.3353
0.3104 0.3104 0.4096
0.3164 0.3164 0.1227
0.6836 0.6836 0.8773
0.6896 0.6896 0.5904
0.9779 0.9779 0.6647
0.0000 0.0000 0.0000
0.3594 0.3594 0.8062
0.6406 0.6406 0.1938
```

Summary:
The energy above the lowest structure with this stoichiometry comes out at 0 meV/atom. The space group is C2/m.

***

Record 4
First-principles (PBE) data for an optimized crystal structure of Sm6HoEr2Sc3, as listed in Alexandria via LeMat-Bulk.

```
Sm6HoEr2Sc3
1.0
3.0543 -5.2871 0.0000
3.0543 5.2871 0.0000
-2.0307 0.0000 11.2788
Sm Ho Er Sc
6 1 2 3
Direct
0.0860 0.4194 0.7579
0.2474 0.2474 0.2419
0.4194 0.0860 0.7579
0.5806 0.9140 0.2421
0.7526 0.7526 0.7581
0.9140 0.5806 0.2421
0.0000 0.0000 0.5000
0.3334 0.6666 0.5000
0.6666 0.3334 0.5000
0.1669 0.8331 0.0000
0.5000 0.5000 0.0000
0.8331 0.1669 0.0000
```

Summary:
The space group is C2/m. The calculation puts the final energy at -5.04 eV per atom.

***

Record 5
First-principles (PBE) data for an optimized crystal structure of Li3N2, as listed in Alexandria via LeMat-Bulk.

```
Li3N2
1.0
3.5256 0.0000 0.0000
0.0000 3.5256 0.0000
0.0000 0.0000 4.6800
Li N
3 2
Direct
0.0000 0.0000 0.0000
0.0000 0.0000 0.5000
0.5000 0.5000 0.0000
0.0000 0.5000 0.2192
0.5000 0.0000 0.7808
```

Summary:
The space group is P-4m2. For the uncorrected formation energy, the calculation gives 0.46 eV/atom.

***

Record 6
First-principles (PBE) data for an optimized crystal structure of SiNi, as listed in Alexandria via LeMat-Bulk.

```
SiNi
1.0
8.0950 0.0000 0.0000
0.0000 3.0019 0.0000
-0.9593 0.0000 3.8344
Si Ni
4 4
Direct
0.1221 0.0000 0.3199
0.3779 0.5000 0.6801
0.6221 0.5000 0.3199
0.8779 0.0000 0.6801
0.1122 0.5000 0.8127
0.3878 0.0000 0.1873
0.6122 0.0000 0.8127
0.8878 0.5000 0.1873
```

Summary:
The space group is C2/m. For the uncorrected formation energy, the calculation gives -0.36 eV/atom.

***

Record 7
First-principles (PBE) data for an optimized crystal structure of Sr2YAg, as listed in Alexandria via LeMat-Bulk.

```
Sr2YAg
1.0
5.0086 0.0000 0.0000
0.0000 5.0086 0.0000
0.0000 0.0000 11.3882
Sr Y Ag
4 2 2
Direct
0.0000 0.0000 0.0000
0.0000 0.5000 0.2500
0.5000 0.0000 0.7500
0.5000 0.5000 0.5000
0.0000 0.5000 0.7500
0.5000 0.0000 0.2500
0.0000 0.0000 0.5000
0.5000 0.5000 0.0000
```

Summary:
The energy above the lowest structure with this stoichiometry comes out at 277 meV/atom. The space group is I-4m2.

***

Record 8
First-principles (PBE) data for an optimized crystal structure of NaPBrO2, as listed in Alexandria via LeMat-Bulk.

```
NaPBrO2
1.0
4.1541 0.0000 0.0000
0.0000 4.1541 0.0000
0.0000 0.0000 4.8720
Na P Br O
1 1 1 2
Direct
0.0000 0.0000 0.0000
0.5000 0.5000 0.0000
0.5000 0.5000 0.5000
0.0000 0.5000 0.5000
0.5000 0.0000 0.5000
```

Summary:
The energy above the lowest structure with this stoichiometry comes out at 0 meV/atom. The space group is P4/mmm. For the uncorrected formation energy, the calculation gives 0.52 eV/atom.